[1]
First-principles (PBE) data for a relaxed TlPOsCl2 crystal, as listed in the Alexandria database.

Lattice parameters (Å, degrees): 5.174 5.174 5.383 90.00 90.00 90.00
Site moments in Bohr magnetons follow the coordinates.
Fractional coordinates of all 5 atoms:
P: 0.000 0.000 0.500  -0.12
Tl: 0.000 0.000 0.000  0.00
Os: 0.500 0.500 0.500  3.40
Cl: 0.000 0.500 0.000  0.05
Cl: 0.500 0.000 0.000  0.05

E above lowest polymorph = 1.466 eV per atom
E_form (uncorrected) = 1508 meV per atom
Space group = P4/mmm, No. 123
Total DFT energy (no corrections) = -3.0321 eV per atom

***

[2]
First-principles (PBE) data for a relaxed PrMnNbN3 crystal, as listed in the Alexandria database.

Lattice parameters (Å, degrees): 3.198 6.996 7.347 106.55 90.00 90.00
Fractional coordinates of all 12 atoms:
Pr: 0.750 0.802 0.784
Pr: 0.250 0.198 0.216
Mn: 0.250 0.099 0.599
Mn: 0.750 0.901 0.401
Nb: 0.250 0.663 0.149
Nb: 0.750 0.337 0.851
N: 0.250 0.810 0.500
N: 0.750 0.877 0.136
N: 0.750 0.445 0.152
N: 0.750 0.190 0.500
N: 0.250 0.555 0.848
N: 0.250 0.123 0.864

E_form (uncorrected) = -879 meV per atom
Space group = P2_1/m, No. 11
Total DFT energy (no corrections) = -9.0450 eV per atom

***

[3]
First-principles (PBE) data for a relaxed Re3Pb crystal, as listed in the Alexandria database.

Lattice parameters (Å, degrees): 2.956 2.956 7.897 90.00 90.00 90.00
Fractional coordinates of all 4 atoms:
Pb: 0.000 0.000 0.000
Re: 0.500 0.500 0.283
Re: 0.000 0.000 0.500
Re: 0.500 0.500 0.717

E above lowest polymorph = 0.036 eV per atom
DFT formation energy = 0.67 eV/atom
Space group = P4/mmm, No. 123
Total DFT energy (no corrections) = -9.5977 eV per atom

***

[4]
First-principles (PBE) data for a relaxed Sr2CaLa crystal, as listed in the Alexandria database.

Lattice parameters (Å, degrees): 6.934 6.934 6.934 131.03 131.03 71.77
Site moments in Bohr magnetons follow the coordinates.
Fractional coordinates of all 4 atoms:
Sr: 0.000 0.000 0.000  -0.04
Sr: 0.500 0.500 0.000  -0.04
Ca: 0.250 0.750 0.500  -0.04
La: 0.750 0.250 0.500  -0.28

E above lowest polymorph = 0.074 eV per atom
DFT formation energy = 0.16 eV/atom
Space group = I4/mmm, No. 139
Total DFT energy (no corrections) = -2.4134 eV per atom

***

[5]
First-principles (PBE) data for a relaxed Mg3VN crystal, as listed in the Alexandria database.

Lattice parameters (Å, degrees): 4.352 4.352 4.352 90.00 90.00 90.00
Site moments in Bohr magnetons follow the coordinates.
Fractional coordinates of all 5 atoms:
Mg: 0.000 0.500 0.000  0.00
Mg: 0.000 0.000 0.500  0.00
Mg: 0.500 0.000 0.000  0.00
V: 0.500 0.500 0.500  2.71
N: 0.000 0.000 0.000  0.18

E above lowest polymorph = 0.000 eV per atom
E_form (uncorrected) = 167 meV per atom
Space group = Pm-3m, No. 221
Total DFT energy (no corrections) = -4.2783 eV per atom

***

[6]
First-principles (PBE) data for a relaxed PmY2In2 crystal, as listed in the Alexandria database.

Lattice parameters (Å, degrees): 13.838 13.838 5.293 90.00 90.00 163.55
Fractional coordinates of all 10 atoms:
Pm: 0.146 0.854 0.250
Pm: 0.854 0.146 0.750
Y: 0.950 0.050 0.250
Y: 0.050 0.950 0.750
Y: 0.762 0.238 0.250
Y: 0.238 0.762 0.750
In: 0.354 0.646 0.250
In: 0.646 0.354 0.750
In: 0.546 0.454 0.250
In: 0.454 0.546 0.750

E above lowest polymorph = 0.000 eV per atom
DFT formation energy = -0.40 eV/atom
Space group = Cmcm, No. 63
Total DFT energy (no corrections) = -5.0318 eV per atom

***

[7]
First-principles (PBE) data for a relaxed NaSr2Ga4Au3 crystal, as listed in the Alexandria database.

Lattice parameters (Å, degrees): 4.518 4.518 11.223 90.00 90.00 90.00
Fractional coordinates of all 10 atoms:
Na: 0.500 0.500 0.500
Sr: 0.500 0.000 0.238
Sr: 0.000 0.500 0.762
Ga: 0.500 0.500 0.000
Ga: 0.000 0.000 0.000
Ga: 0.500 0.000 0.644
Ga: 0.000 0.500 0.356
Au: 0.000 0.000 0.500
Au: 0.500 0.000 0.873
Au: 0.000 0.500 0.127

DFT formation energy = -0.47 eV/atom
Space group = P-4m2, No. 115
Total DFT energy (no corrections) = -3.1339 eV per atom

***

[8]
First-principles (PBE) data for a relaxed Nd2HoEr5 crystal, as listed in the Alexandria database.

Lattice parameters (Å, degrees): 5.019 7.103 14.206 90.00 90.00 90.00
Fractional coordinates of all 16 atoms:
Nd: 0.500 0.250 0.625
Nd: 0.500 0.750 0.375
Nd: 0.500 0.250 0.125
Nd: 0.500 0.750 0.875
Ho: 0.000 0.000 0.500
Ho: 0.000 0.500 0.000
Er: 0.000 0.000 0.000
Er: 0.000 0.500 0.500
Er: 0.000 0.500 0.750
Er: 0.000 0.500 0.250
Er: 0.000 0.000 0.250
Er: 0.000 0.000 0.750
Er: 0.500 0.250 0.875
Er: 0.500 0.750 0.125
Er: 0.500 0.250 0.375
Er: 0.500 0.750 0.625

E above lowest polymorph = 0.000 eV per atom
DFT formation energy = 0.02 eV/atom
Space group = Pbam, No. 55
Total DFT energy (no corrections) = -4.5929 eV per atom

***

[9]
First-principles (PBE) data for a relaxed NdAl2Pt crystal, as listed in the Alexandria database.

Lattice parameters (Å, degrees): 5.853 6.994 15.940 90.00 90.00 90.00
Fractional coordinates of all 32 atoms:
Nd: 0.485 0.250 0.140
Nd: 0.985 0.750 0.360
Nd: 0.515 0.750 0.860
Nd: 0.015 0.250 0.640
Nd: 0.768 0.250 0.396
Nd: 0.268 0.750 0.104
Nd: 0.232 0.750 0.604
Nd: 0.732 0.250 0.896
Al: 0.979 0.056 0.211
Al: 0.479 0.944 0.289
Al: 0.021 0.556 0.789
Al: 0.521 0.444 0.711
Al: 0.021 0.944 0.789
Al: 0.521 0.056 0.711
Al: 0.979 0.444 0.211
Al: 0.479 0.556 0.289
Al: 0.780 0.558 0.041
Al: 0.280 0.442 0.459
Al: 0.220 0.058 0.959
Al: 0.720 0.942 0.541
Al: 0.220 0.442 0.959
Al: 0.720 0.558 0.541
Al: 0.780 0.942 0.041
Al: 0.280 0.058 0.459
Pt: 0.244 0.250 0.318
Pt: 0.744 0.750 0.182
Pt: 0.756 0.750 0.682
Pt: 0.256 0.250 0.818
Pt: 0.998 0.250 0.072
Pt: 0.498 0.750 0.428
Pt: 0.002 0.750 0.928
Pt: 0.502 0.250 0.572

DFT formation energy = -0.92 eV/atom
Space group = Pnma, No. 62
Total DFT energy (no corrections) = -5.4889 eV per atom

***

[10]
First-principles (PBE) data for a relaxed Sm5Ho3Sc crystal, as listed in the Alexandria database.

Lattice parameters (Å, degrees): 8.044 8.044 11.294 72.31 72.31 90.41
Fractional coordinates of all 18 atoms:
Sm: 0.959 0.425 0.352
Sm: 0.254 0.746 0.000
Sm: 0.695 0.695 0.091
Sm: 0.468 0.468 0.382
Sm: 0.532 0.532 0.618
Sm: 0.305 0.305 0.909
Sm: 0.425 0.959 0.352
Sm: 0.746 0.254 0.000
Sm: 0.041 0.575 0.648
Sm: 0.575 0.041 0.648
Ho: 0.622 0.622 0.841
Ho: 0.799 0.799 0.343
Ho: 0.000 0.000 0.000
Ho: 0.000 0.000 0.500
Ho: 0.378 0.378 0.159
Ho: 0.201 0.201 0.657
Sc: 0.906 0.906 0.796
Sc: 0.094 0.094 0.204

DFT formation energy = 0.57 eV/atom
Space group = C2/m, No. 12
Total DFT energy (no corrections) = -4.2766 eV per atom

***

[11]
First-principles (PBE) data for a relaxed Pm5TcI5 crystal, as listed in the Alexandria database.

Lattice parameters (Å, degrees): 6.259 7.778 9.199 107.57 90.00 113.72
Fractional coordinates of all 11 atoms:
Pm: 0.852 0.704 0.127
Pm: 0.865 0.729 0.726
Pm: 0.500 0.000 0.000
Pm: 0.135 0.271 0.274
Pm: 0.148 0.296 0.873
Tc: 0.000 0.000 0.000
I: 0.685 0.370 0.343
I: 0.659 0.317 0.804
I: 0.000 0.000 0.500
I: 0.341 0.683 0.196
I: 0.315 0.630 0.657

E_form (uncorrected) = -821 meV per atom
Space group = C2/m, No. 12
Total DFT energy (no corrections) = -4.6268 eV per atom

***

> What is the total DFT energy (no corrections) in the third record?

-9.5977 eV per atom

***

> Among the records above, which one has the highest total DFT energy (no corrections)?

Sr2CaLa

***

Copy entry 5 word for word.
First-principles (PBE) data for a relaxed Mg3VN crystal, as listed in the Alexandria database.

Lattice parameters (Å, degrees): 4.352 4.352 4.352 90.00 90.00 90.00
Site moments in Bohr magnetons follow the coordinates.
Fractional coordinates of all 5 atoms:
Mg: 0.000 0.500 0.000  0.00
Mg: 0.000 0.000 0.500  0.00
Mg: 0.500 0.000 0.000  0.00
V: 0.500 0.500 0.500  2.71
N: 0.000 0.000 0.000  0.18

E above lowest polymorph = 0.000 eV per atom
E_form (uncorrected) = 167 meV per atom
Space group = Pm-3m, No. 221
Total DFT energy (no corrections) = -4.2783 eV per atom

***

> The highest total DFT energy (no corrections) belongs to which entry?

Sr2CaLa